Material: Cs5Ag2
Method: DFT, PBE
State: relaxed

Cell and atoms, written as POSCAR:
```
Cs5Ag2
1.0
8.3036 0.0000 -3.2258
-0.4457 10.0314 -1.1472
-0.3025 -0.0335 11.5218
Ag Cs
4 10
Cartesian
1.1511 4.2140 8.0571
4.3671 9.2296 6.1475
6.4044 5.7839 -0.9083
3.1884 0.7683 1.0012
6.3481 3.2056 2.0664
2.7631 1.7766 5.1382
4.7924 8.2213 2.0105
6.1279 5.7792 6.2522
3.2243 7.5235 -2.2428
-0.0773 0.7635 9.3229
1.2074 6.7923 5.0824
7.6329 9.2344 -2.1741
4.6337 2.5078 -2.1302
1.4276 4.2187 0.8966
```

Space-group type = C2/c, No. 15
Formation energy from the elements = 3.5 kJ per mole of atoms



Material: Cs2Ag3
Method: DFT, PBE
State: relaxed

Cell and atoms, written as POSCAR:
```
Cs2Ag3
1.0
4.6830 0.0000 1.4681
2.4383 11.1651 0.4252
1.0783 -0.4657 4.7634
Ag Cs
3 2
Cartesian
3.9489 10.5181 3.8096
4.2507 0.1814 2.8471
2.3415 0.0000 0.7341
2.1196 7.9208 1.4420
6.0801 2.7786 5.2147
```

Space-group type = C2/m, No. 12
Formation energy from the elements = 1.0 kJ per mole of atoms



Material: CsAg
Method: DFT, PBE
State: relaxed

Cell and atoms, written as POSCAR:
```
CsAg
1.0
-7.6625 1.2289 3.5788
-3.7603 -3.3744 -6.8924
0.4220 -7.7546 3.5663
Ag Cs
4 4
Cartesian
-2.7502 -2.4750 0.0632
-4.4193 -8.0396 -1.5998
-8.4615 -3.5478 -1.5936
-6.3704 -5.7379 3.6357
-1.6691 -5.5645 -1.6630
-5.7114 -1.0728 -1.6568
-3.6202 -3.2629 3.5725
0.0000 0.0000 0.0000
```

Space-group type = F-43m, No. 216
Formation energy from the elements = 18.1 kJ per mole of atoms



Material: CsAg
Method: DFT, PBE
State: relaxed

Cell and atoms, written as POSCAR:
```
CsAg
1.0
4.9699 0.0000 0.0000
0.0000 14.7267 0.0000
0.0000 0.0000 7.3777
Cs Ag
6 6
Cartesian
2.4850 4.2286 2.3673
2.4850 0.0000 0.4096
0.0000 3.1348 6.0562
2.4850 10.4981 2.3673
0.0000 7.3634 4.0984
0.0000 11.5920 6.0562
0.0000 13.3319 2.8537
2.4850 0.0000 3.8889
2.4850 8.7582 6.5426
0.0000 1.3949 2.8537
0.0000 7.3634 0.2001
2.4850 5.9685 6.5426
```

Space-group type = Imm2, No. 44
Formation energy from the elements = 8.8 kJ per mole of atoms



Material: CsAg
Method: DFT, PBE
State: relaxed

Cell and atoms, written as POSCAR:
```
CsAg
1.0
4.8111 0.0000 1.4328
2.1922 4.2827 1.4328
-0.4056 -0.2480 10.1561
Ag Cs
2 2
Cartesian
4.2633 2.6071 12.0663
2.3344 1.4275 0.9554
6.3266 3.8688 5.1381
0.2712 0.1658 7.8836
```

Space-group type = R-3m, No. 166
Formation energy from the elements = 0.8 kJ per mole of atoms



Material: Cs5Ag6
Method: DFT, PBE
State: relaxed

Cell and atoms, written as POSCAR:
```
Cs5Ag6
1.0
-4.0473 0.1824 3.6828
-3.3934 0.4536 -3.7517
0.2421 -17.3267 1.1241
Ag Cs
6 5
Cartesian
-3.3604 -15.6228 1.1506
-2.2484 -2.5505 1.7253
-0.7834 -9.2089 -0.4049
-2.3680 -7.6642 -2.2228
-4.9503 -14.1402 -0.6701
-3.8383 -1.0679 -0.0954
-1.1229 -13.1999 -0.5803
0.0000 0.0000 0.0000
-2.5914 -6.5830 1.5480
-4.6073 -10.1077 -0.4928
-2.0285 -3.6732 -2.0473
```

Space-group type = Cmmm, No. 65
Formation energy from the elements = 3.6 kJ per mole of atoms



Material: Cs5Ag3
Method: DFT, PBE
State: relaxed

Cell and atoms, written as POSCAR:
```
Cs5Ag3
1.0
8.7722 0.0000 -4.2868
-2.0948 8.5185 -4.2868
0.2093 0.2670 11.5473
Ag Cs
6 10
Cartesian
-0.3460 5.1541 -3.0440
5.1127 6.5223 -0.6565
3.2445 0.8949 -2.1434
1.7740 2.2631 3.6303
3.4329 7.6236 -6.4301
7.0234 3.3644 -5.5295
4.7525 0.4674 5.8335
6.5662 2.7812 -1.5739
0.0522 1.7450 7.3340
0.0000 0.0000 0.0000
3.3387 4.2592 -4.2868
6.8345 7.0404 -4.3602
1.8659 4.0588 -0.0735
2.1342 8.3180 -2.8598
5.0208 4.7266 3.0472
0.3205 6.0043 4.5477
```

Space-group type = I4/mcm, No. 140
Formation energy from the elements = 2.4 kJ per mole of atoms



Material: CsAg
Method: DFT, PBE
State: relaxed

Cell and atoms, written as POSCAR:
```
CsAg
1.0
10.4766 0.0000 0.0000
0.0000 10.4766 0.0000
0.0000 0.0000 10.4766
Ag Cs
6 6
Cartesian
5.2383 2.6192 0.0000
2.6192 0.0000 5.2383
5.2383 7.8574 0.0000
0.0000 5.2383 2.6192
7.8574 0.0000 5.2383
0.0000 5.2383 7.8574
5.2383 0.0000 2.6192
5.2383 0.0000 7.8574
2.6192 5.2383 0.0000
0.0000 2.6192 5.2383
0.0000 7.8574 5.2383
7.8574 5.2383 0.0000
```

Space-group type = Pm-3n, No. 223
Formation energy from the elements = 18.6 kJ per mole of atoms



Material: CsAg6
Method: DFT, PBE
State: relaxed

Cell and atoms, written as POSCAR:
```
CsAg6
1.0
-1.4653 5.5956 -3.2519
-5.2520 -1.9232 3.5709
5.1502 1.0757 4.0438
Cs Ag
1 6
Cartesian
0.0000 0.0000 0.0000
-3.3842 1.6243 2.0631
0.8703 1.2441 4.0053
-2.4375 3.5040 0.3574
0.1631 4.2538 0.4757
-1.7303 0.4943 3.8870
1.8170 3.1238 2.2996
```

Space-group type = Im-3m, No. 229
Formation energy from the elements = 32.1 kJ per mole of atoms



Material: CsAg
Method: DFT, PBE
State: relaxed

Cell and atoms, written as POSCAR:
```
CsAg
1.0
10.8669 0.0000 0.0000
0.0000 10.8669 0.0000
0.0000 0.0000 10.8669
Cs Ag
8 8
Cartesian
8.6102 8.6102 8.6102
3.1768 7.6901 7.6901
2.2566 8.6102 2.2566
8.6102 2.2566 2.2566
3.1768 3.1768 3.1768
2.2566 2.2566 8.6102
7.6901 7.6901 3.1768
7.6901 3.1768 7.6901
9.8435 9.8435 1.0234
1.0234 9.8435 9.8435
9.8435 1.0234 9.8435
6.4568 6.4568 6.4568
6.4568 4.4101 4.4101
4.4101 4.4101 6.4568
1.0234 1.0234 1.0234
4.4101 6.4568 4.4101
```

Space-group type = I-43m, No. 217
Formation energy from the elements = 13.1 kJ per mole of atoms



Material: CsAg
Method: DFT, PBE
State: relaxed

Cell and atoms, written as POSCAR:
```
CsAg
1.0
13.3572 0.0000 0.0000
0.0000 13.3572 0.0000
0.0000 0.0000 5.1620
Ag Cs
8 8
Cartesian
3.7140 3.7140 2.5810
10.3926 10.3926 0.0000
2.9646 10.3926 0.0000
9.6432 3.7140 2.5810
2.9646 2.9646 0.0000
3.7140 9.6432 2.5810
9.6432 9.6432 2.5810
10.3926 2.9646 0.0000
3.3409 6.6786 0.0000
0.0000 10.0195 2.5810
0.0000 3.3377 2.5810
3.3377 0.0000 2.5810
10.0163 6.6786 0.0000
10.0195 0.0000 2.5810
6.6786 3.3409 0.0000
6.6786 10.0163 0.0000
```

Space-group type = I4/mmm, No. 139
Formation energy from the elements = 6.7 kJ per mole of atoms



Material: CsAg
Method: DFT, PBE
State: relaxed

Cell and atoms, written as POSCAR:
```
CsAg
1.0
-4.6373 4.5851 -0.0782
-0.1680 -4.8818 -4.3212
-4.1888 -4.1537 4.8555
Cs Ag
2 2
Cartesian
-6.2891 -1.6858 2.1491
-2.7050 -2.7646 -1.6930
-4.1947 0.3910 -0.2786
-4.7994 -4.8415 0.7347
```

Space-group type = P6_3/mmc, No. 194
Formation energy from the elements = 13.4 kJ per mole of atoms



Please write out number 10 again, unchanged.
Material: CsAg
Method: DFT, PBE
State: relaxed

Cell and atoms, written as POSCAR:
```
CsAg
1.0
10.8669 0.0000 0.0000
0.0000 10.8669 0.0000
0.0000 0.0000 10.8669
Cs Ag
8 8
Cartesian
8.6102 8.6102 8.6102
3.1768 7.6901 7.6901
2.2566 8.6102 2.2566
8.6102 2.2566 2.2566
3.1768 3.1768 3.1768
2.2566 2.2566 8.6102
7.6901 7.6901 3.1768
7.6901 3.1768 7.6901
9.8435 9.8435 1.0234
1.0234 9.8435 9.8435
9.8435 1.0234 9.8435
6.4568 6.4568 6.4568
6.4568 4.4101 4.4101
4.4101 4.4101 6.4568
1.0234 1.0234 1.0234
4.4101 6.4568 4.4101
```

Space-group type = I-43m, No. 217
Formation energy from the elements = 13.1 kJ per mole of atoms



> formation energy from the elements of number 2 (Cs2Ag3)?

1.0 kJ per mole of atoms



> Among the records above, which one has the lowest formation energy from the elements?

number 5